DFT (PBE-GGA) results for an optimized crystal structure of Pr12Ho3Cd.

Unit cell a=5.1319 b=5.1319 c=20.7241 alpha=90.00 beta=90.00 gamma=90.00
Fractional coordinates of all 16 atoms:
Pr1 0.5000 0.0000 0.3737
Pr2 0.0000 0.5000 0.8781
Pr3 0.5000 0.5000 0.2466
Pr4 0.0000 0.5000 0.6263
Pr5 0.5000 0.0000 0.1219
Ho1 0.0000 0.0000 0.5000
Pr6 0.5000 0.5000 0.5000
Cd1 0.0000 0.0000 0.0000
Pr7 0.5000 0.0000 0.6263
Pr8 0.5000 0.5000 0.7534
Ho2 0.0000 0.0000 0.2478
Pr9 0.0000 0.5000 0.3737
Pr10 0.0000 0.5000 0.1219
Pr11 0.5000 0.5000 0.0000
Pr12 0.5000 0.0000 0.8781
Ho3 0.0000 0.0000 0.7522

Values from the calculation:
SG: P4/mmm, No. 123
DFT formation energy: -0.0143 eV per atom
E: -72.23 eV per cell